1.
## ErMoO4F (PBEsol)

Data for a relaxed ErMoO4F crystal.

Cell: 5.148 12.156 6.569 Å, 90.00 113.81 90.00°
Fractional coordinates of all 28 atoms:
Er (0.140, 0.051, 0.300)
Er (0.140, 0.449, 0.800)
Er (0.860, 0.551, 0.200)
Er (0.860, 0.949, 0.700)
Mo (0.418, 0.143, 0.868)
Mo (0.418, 0.357, 0.368)
Mo (0.582, 0.643, 0.632)
Mo (0.582, 0.857, 0.132)
O (0.190, 0.065, 0.964)
O (0.190, 0.435, 0.464)
O (0.261, 0.653, 0.405)
O (0.261, 0.847, 0.905)
O (0.306, 0.222, 0.295)
O (0.306, 0.278, 0.795)
O (0.499, 0.069, 0.661)
O (0.499, 0.431, 0.161)
O (0.501, 0.569, 0.839)
O (0.501, 0.931, 0.339)
O (0.694, 0.722, 0.205)
O (0.694, 0.778, 0.705)
O (0.739, 0.153, 0.095)
O (0.739, 0.347, 0.595)
O (0.810, 0.565, 0.536)
O (0.810, 0.935, 0.036)
F (0.037, 0.599, 0.959)
F (0.037, 0.901, 0.459)
F (0.963, 0.099, 0.541)
F (0.963, 0.401, 0.041)


2.
## Ag2SnIO (PBEsol)

Data for a relaxed Ag2SnIO crystal.

Cell: 4.650 4.650 4.805 Å, 90.00 90.00 90.00°
Fractional coordinates of all 5 atoms:
Ag (0.000, 0.500, 0.000)
Ag (0.500, 0.000, 0.000)
Sn (0.000, 0.000, 0.500)
I (0.500, 0.500, 0.500)
O (0.000, 0.000, 0.000)


| no. | E_form (uncorrected) (eV/atom) | DOS at the Fermi energy (states/eV/cell) |
| --- | --- | --- |
| 1 | -2.882 | 0.0 |
| 2 | -0.024 | 2.0 |